1.
This record from Alexandria describes a geometry-optimized TbCeOs structure. The functional is PBE.

DFT total energy ... -7.508 eV per atom
Energy of formation from the pure elements ... -0.243 eV per atom
ΔE to the lowest computed polymorph ... 0.000 eV/atom
Magnetic moment ... 0.0 μB per formula unit
Calculated volume ... 26.659 Å³ per atom
DOS at the Fermi energy ... 4.6 states/eV/f.u.

Unit cell a=5.9359 b=4.3312 c=6.5950 alpha=90.00 beta=109.37 gamma=90.00
Last column: nearest neighbours and their distance in Å.
Space group P2_1/m (No. 11)
Symmetry-distinct sites (fractional):
Tb: 0.0672 0.2500 0.3029 x2  4 Os 2.94-3.22
Ce: 0.4985 0.2500 0.8149 x2  3 Os 2.68-2.90
Os: 0.3593 0.7500 0.5658 x2  3 Ce 2.68-2.90, 3 Tb 2.94-2.95



2.
This record from Alexandria describes a geometry-optimized Ba2SiBr structure. The functional is PBE.

DFT total energy ... -3.604 eV per atom
ΔE to the lowest computed polymorph ... 0.069 eV/atom
Magnetic moment ... 0.0 μB per formula unit
Calculated volume ... 33.935 Å³ per atom
Formation energy (no corrections) ... -868.3 meV per atom
DOS at the Fermi energy ... 2.5 states/eV/f.u.

Unit cell a=8.4215 b=8.4215 c=3.8279 alpha=90.00 beta=90.11 gamma=90.00
Last column: nearest neighbours and their distance in Å.
Space group C2/m (No. 12)
Symmetry-distinct sites (fractional):
Ba: 0.2500 0.2500 0.0000 x4  4 Br 3.54, 4 Si 3.54, 2 Ba 3.83
Si: 0.0000 0.0000 0.5000 x2  8 Ba 3.54, 2 Si 3.83
Br: 0.0000 0.5000 0.5000 x2  8 Ba 3.54, 2 Br 3.83